# 1
Entry from Alexandria via LeMat-Bulk: a relaxed structure of ThGa5 (GGA-PBE).

## Properties
- ΔE to the lowest computed polymorph (eV per atom) = 0.037
- total energy (eV per atom) = -4.038

Lattice parameters (Å, degrees): 4.749 4.248 6.435 109.27 90.00 90.00
Positions (direct):
1 Th 0.000 0.000 0.000
2 Ga 0.500 0.826 0.652
3 Ga 0.500 0.500 0.000
4 Ga 0.500 0.174 0.348
5 Ga 0.000 0.311 0.622
6 Ga 0.000 0.689 0.378

# 2
Entry from Alexandria via LeMat-Bulk: a relaxed structure of ThGa5 (GGA-PBE).

## Properties
- ΔE to the lowest computed polymorph (eV per atom) = 0.000
- total energy (eV per atom) = -4.075

Lattice parameters (Å, degrees): 4.412 5.842 5.842 65.82 67.81 67.81
Positions (direct):
1 Ga 0.836 0.883 0.446
2 Ga 0.164 0.554 0.117
3 Ga 0.164 0.117 0.554
4 Ga 0.500 0.500 0.500
5 Ga 0.836 0.446 0.883
6 Th 0.500 0.000 0.000

# 3
Entry from Alexandria via LeMat-Bulk: a relaxed structure of ThGa6 (GGA-PBE).

## Properties
- ΔE to the lowest computed polymorph (eV per atom) = 0.000
- total energy (eV per atom) = -3.954

Lattice parameters (Å, degrees): 6.073 6.073 7.644 90.00 90.00 90.00
Positions (direct):
1 Ga 0.680 0.180 0.354
2 Ga 0.180 0.320 0.354
3 Ga 0.820 0.320 0.646
4 Ga 0.180 0.680 0.646
5 Ga 0.320 0.820 0.354
6 Ga 0.000 0.000 0.835
7 Ga 0.680 0.820 0.646
8 Ga 0.320 0.180 0.646
9 Ga 0.000 0.000 0.165
10 Ga 0.820 0.680 0.354
11 Ga 0.500 0.500 0.835
12 Ga 0.500 0.500 0.165
13 Th 0.000 0.500 0.000
14 Th 0.500 0.000 0.000

# 4
Entry from Alexandria via LeMat-Bulk: a relaxed structure of ThGa2 (GGA-PBE).

## Properties
- total energy (eV per atom) = -4.810

Lattice parameters (Å, degrees): 4.265 4.265 4.294 104.89 104.89 89.45
Positions (direct):
1 Ga 0.883 0.883 0.689
2 Ga 0.117 0.117 0.311
3 Th 0.500 0.500 0.000

Number 1: formation enthalpy at 0 K -279 meV per atom. Number 2: formation enthalpy at 0 K -316 meV per atom. Number 3: formation enthalpy at 0 K -300 meV per atom. Number 4: formation enthalpy at 0 K -319 meV per atom.